DFT (PBE) results for crystalline Rb3LaRu at its relaxed geometry.

Properties
Its space-group type is P1 (1). The value obtained for the total magnetization is 0.000 μB per formula unit. The calculation puts the electronic total energy at -3.2173 eV per atom. The formation energy from the elements comes out at 20 kJ/mol of atoms. For the distance to the lowest polymorph of the same formula, the calculation gives 42 meV per atom.

Structure (POSCAR):
```
Rb3LaRu
1.0
-4.897 4.822 -7.918
-8.920 1.828 8.271
0.673 4.500 1.488
Ru Rb La
2 6 2
Direct
0.502 0.221 0.813
0.710 0.281 0.031
0.033 0.151 0.985
0.916 0.757 0.021
0.324 0.914 0.181
0.551 0.561 0.776
0.672 0.012 0.562
0.138 0.504 0.674
0.766 0.350 0.409
0.423 0.249 0.378
```